La2AlRh PBE relaxed; ΔH_f (0 K) = -0.38 eV/atom; spin magnetization = 0.00 μB/f.u.; density of states at the Fermi level = 2.6 states/eV/f.u.
1.0
4.049 0.000 0.000
-2.025 3.507 0.000
0.000 0.000 24.514
La Al Rh
6 3 3
Direct
0.000 0.000 0.236
0.000 0.000 0.764
0.333 0.667 0.430
0.333 0.667 0.903
0.667 0.333 0.097
0.667 0.333 0.570
0.000 0.000 0.000
0.333 0.667 0.667
0.667 0.333 0.333
0.000 0.000 0.500
0.333 0.667 0.167
0.667 0.333 0.833